Record 1
The following is a DFT calculation (GGA-PBE) of crystalline AlTc2Br at its relaxed geometry.

Formation energy without anion corrections   0.812 eV/atom
Raw total energy   -5.725 eV per atom

a b c (Å): 6.372 6.372 6.372
angles (deg): 90.00 90.00 90.00
Space group F-43m (No. 216)
Asymmetric unit:
Al  0.000  0.000  0.000 (multiplicity 4)
Tc  0.000  0.000  0.500 (multiplicity 4)
Tc  0.250  0.250  0.750 (multiplicity 4)
Br  0.250  0.250  0.250 (multiplicity 4)

---

Record 2
The following is a DFT calculation (GGA-PBE) of crystalline Al4TcBr at its relaxed geometry.

Formation energy without anion corrections   0.390 eV/atom
Raw total energy   -4.112 eV per atom

a b c (Å): 7.478 7.478 7.478
angles (deg): 90.00 90.00 90.00
Space group F-43m (No. 216)
Asymmetric unit:
Al  0.124  0.124  0.376 (multiplicity 16)
Tc  0.250  0.250  0.750 (multiplicity 4)
Br  0.000  0.000  0.000 (multiplicity 4)

---

Record 3
The following is a DFT calculation (GGA-PBE) of crystalline AlTc2Br at its relaxed geometry.

Formation energy without anion corrections   0.472 eV/atom
Raw total energy   -6.065 eV per atom

a b c (Å): 9.354 3.012 4.815
angles (deg): 90.00 110.28 90.00
Space group Cm (No. 8)
Asymmetric unit:
Al  0.000  0.000  0.000 (multiplicity 2)
Tc  0.033  0.500  0.526 (multiplicity 2)
Tc  0.256  0.000  0.907 (multiplicity 2)
Br  0.280  0.500  0.355 (multiplicity 2)

---

Computed magnetization, in the same sequence as the records: 1.29, 6.58, 0.00 μB per cell.